Record 1
Material: LiNd3Hg2
Method: DFT, PBE
State: relaxed

The structure in CIF format:
```
data_LiNd3Hg2
_cell_length_a 5.322
_cell_length_b 16.166
_cell_length_c 3.905
_cell_angle_alpha 90.00
_cell_angle_beta 90.00
_cell_angle_gamma 90.00
_space_group_name_H-M_alt 'C m m m'
_space_group_IT_number 65
_space_group_name_Hall '-C 2 2'
loop_
_atom_site_label
_atom_site_fract_x
_atom_site_fract_y
_atom_site_fract_z
Li1 0.000 0.000 0.000
Nd1 0.000 0.170 0.500
Nd2 0.000 0.500 0.500
Hg1 0.000 0.343 0.000
```



Record 2
Material: LiBeZnCd
Method: DFT, PBE
State: relaxed

The structure in CIF format:
```
data_LiBeZnCd
_cell_length_a 6.085
_cell_length_b 6.085
_cell_length_c 6.085
_cell_angle_alpha 90.00
_cell_angle_beta 90.00
_cell_angle_gamma 90.00
_space_group_name_H-M_alt 'F -4 3 m'
_space_group_IT_number 216
_space_group_name_Hall 'F -4 2 3'
loop_
_atom_site_label
_atom_site_fract_x
_atom_site_fract_y
_atom_site_fract_z
Li1 0.000 0.000 0.000
Be1 0.000 0.000 0.500
Zn1 0.250 0.250 0.750
Cd1 0.250 0.250 0.250
```



Record 3
Material: ZnInGa
Method: DFT, PBE
State: relaxed

The structure in CIF format:
```
data_ZnInGa
_cell_length_a 3.3917
_cell_length_b 3.3917
_cell_length_c 6.2390
_cell_angle_alpha 90.00
_cell_angle_beta 90.00
_cell_angle_gamma 120.00
_space_group_name_H-M_alt 'P 3 m 1'
_space_group_IT_number 156
_space_group_name_Hall 'P 3 -2"'
loop_
_atom_site_label
_atom_site_fract_x
_atom_site_fract_y
_atom_site_fract_z
Zn1 0.0000 0.0000 0.0000
In1 0.3333 0.6667 0.6548
Ga1 0.6667 0.3333 0.2934
```



Number 1: energy of formation -0.312 eV per atom. Number 2: energy of formation 0.027 eV per atom. Number 3: energy of formation 0.091 eV per atom.